P.
A plane-wave DFT calculation with PBE was carried out for TiTc3Hg after structural relaxation.

Properties
- Space-group type: Pm-3m (221)

Cell lengths 4.8455, 4.8455, 4.8455 Å; angles 90.00, 90.00, 90.00 degrees
With the nearest neighbours (Å) after each atom.
Sites, in units of the cell vectors:
Ti (0.5000, 0.5000, 0.5000)  12 Tc 3.43
Hg (0.0000, 0.0000, 0.0000)  6 Tc 2.42
Tc (0.0000, 0.5000, 0.0000)  2 Hg 2.42
Tc (0.0000, 0.0000, 0.5000)  2 Hg 2.42
Tc (0.5000, 0.0000, 0.0000)  2 Hg 2.42



Q.
A plane-wave DFT calculation with PBE was carried out for TiTc3Hg after structural relaxation.

Properties
- Space-group type: Pm-3m (221)

Cell lengths 4.5602, 4.5602, 4.5602 Å; angles 90.00, 90.00, 90.00 degrees
With the nearest neighbours (Å) after each atom.
Sites, in units of the cell vectors:
Ti (0.0000, 0.0000, 0.0000)  6 Tc 2.28
Hg (0.5000, 0.5000, 0.5000)  12 Tc 3.22
Tc (0.0000, 0.5000, 0.0000)  2 Ti 2.28
Tc (0.0000, 0.0000, 0.5000)  2 Ti 2.28
Tc (0.5000, 0.0000, 0.0000)  2 Ti 2.28



Stability check: which of them is most stable? Q.